VASP calculation (GGA-PBE) on a geometry-optimized Tl12Bi7Pb structure.

Output
- raw total energy (eV/atom) = -2.947
- ΔH_f (0 K) (eV per formula unit) = 0.3
- offset from the most stable computed form (meV per atom) = 0

abc: 9.3016 9.3016 9.3016
angles: 107.19 107.19 107.19
Positions (direct):
Tl: 0.6690 0.2145 0.3777
Tl: 0.6223 0.3310 0.7855
Tl: 0.9443 0.5998 0.7023
Tl: 0.2977 0.0557 0.4002
Tl: 0.7855 0.6223 0.3310
Tl: 0.4002 0.2977 0.0557
Tl: 0.5998 0.7023 0.9443
Tl: 0.2145 0.3777 0.6690
Tl: 0.7023 0.9443 0.5998
Tl: 0.0557 0.4002 0.2977
Tl: 0.3777 0.6690 0.2145
Tl: 0.3310 0.7855 0.6223
Bi: 0.3305 0.9068 0.0137
Bi: 0.9863 0.6695 0.0932
Bi: 0.0932 0.9863 0.6695
Bi: 0.5000 0.5000 0.5000
Bi: 0.9068 0.0137 0.3305
Bi: 0.0137 0.3305 0.9068
Bi: 0.6695 0.0932 0.9863
Pb: 0.0000 0.0000 0.0000